# 1
## B3PF (GGA-PBEsol)

Data for an optimized crystal structure of B3PF.

abc: 3.7485 3.7485 3.7485
angles: 90.00 90.00 90.00
Last column: nearest neighbours and their distance in Å.
Atoms (fractional coordinates):
F  0.0000  0.0000  0.0000  6 B 1.87
B  0.0000  0.0000  0.5000  2 F 1.87
B  0.5000  0.0000  0.0000  2 F 1.87
B  0.0000  0.5000  0.0000  2 F 1.87
P  0.5000  0.5000  0.5000  12 B 2.65

symmetry	No. 221
ρ	2.60	g/cm³
volume	53	Å³ per cell
N(E_F)	0.41	states/eV/atom
E	-3.8225	eV/atom

=====

# 2
## KLaRu2 (GGA-PBEsol)

Data for an optimized crystal structure of KLaRu2.

abc: 3.2236 5.2007 5.5695
angles: 117.83 106.82 90.00
Last column: nearest neighbours and their distance in Å.
Atoms (fractional coordinates):
La  0.5000  0.0000  0.0000  4 Ru 2.63
Ru  0.7767  0.7767  0.5534  2 La 2.63
Ru  0.2233  0.2233  0.4466  2 La 2.63
K  0.0000  0.5000  0.0000  8 Ru 3.04-3.33, 4 La 3.06, 2 K 3.22

distance to the lowest polymorph of the same formula	477.7	meV/atom
symmetry	No. 71
ρ	8.09	g/cm³
volume	78	Å³ per cell
N(E_F)	0.89	states/eV/atom
E	-5.7943	eV/atom
formation energy from the elements	0.912	eV per atom

=====

# 3
## AsC2 (GGA-PBEsol)

Data for an optimized crystal structure of AsC2.

abc: 3.9788 3.9788 4.2757
angles: 90.00 90.00 120.00
Last column: nearest neighbours and their distance in Å.
Atoms (fractional coordinates):
As  0.3333  0.6667  0.2500  5 C 2.14-2.30
As  0.6667  0.3333  0.7500  5 C 2.14-2.30
C  0.3333  0.6667  0.7500  5 As 2.14-2.30
C  0.6667  0.3333  0.2500  5 As 2.14-2.30
C  0.0000  0.0000  0.0000  2 C 2.14
C  0.0000  0.0000  0.5000  2 C 2.14

distance to the lowest polymorph of the same formula	1913.6	meV/atom
symmetry	No. 194
ρ	5.61	g/cm³
volume	59	Å³ per cell
N(E_F)	0.53	states/eV/atom
E	-5.3058	eV/atom
formation energy from the elements	2.826	eV per atom

=====

# 4
## MnBe4Si (GGA-PBEsol)

Data for an optimized crystal structure of MnBe4Si.

abc: 4.1415 4.1415 4.1415
angles: 60.00 60.00 60.00
Last column: nearest neighbours and their distance in Å.
Atoms (fractional coordinates):
Be  0.3770  0.8690  0.3770  6 Be 2.04-2.10
Be  0.8690  0.3770  0.3770  6 Be 2.04-2.10
Be  0.3770  0.3770  0.8690  6 Be 2.04-2.10
Be  0.3770  0.3770  0.3770  6 Be 2.04-2.10
Si  0.0000  0.0000  0.0000  12 Be 2.43, 4 Mn 2.54
Mn  0.7500  0.7500  0.7500  12 Be 2.42, 4 Si 2.54

symmetry	No. 216
ρ	3.94	g/cm³
volume	50	Å³ per cell
N(E_F)	0.73	states/eV/atom
E	-5.4183	eV/atom

=====

# 5
## MnSiP2 (GGA-PBEsol)

Data for an optimized crystal structure of MnSiP2.

abc: 5.3104 5.3104 6.2530
angles: 115.13 115.13 90.00
Last column: nearest neighbours and their distance in Å.
Atoms (fractional coordinates):
Mn  0.2500  0.7500  0.5000  4 P 2.25
Mn  0.0000  0.0000  0.0000  4 P 2.25
P  0.6250  0.6275  0.7500  2 Mn 2.25, 2 Si 2.26
P  0.3725  0.8750  0.2500  2 Mn 2.25, 2 Si 2.26
P  0.8775  0.3750  0.2500  2 Mn 2.25, 2 Si 2.26
P  0.1250  0.1225  0.7500  2 Mn 2.25, 2 Si 2.26
Si  0.7500  0.2500  0.5000  4 P 2.26
Si  0.5000  0.5000  0.0000  4 P 2.26

symmetry	No. 122
ρ	3.41	g/cm³
volume	141	Å³ per cell
N(E_F)	0.78	states/eV/atom
E	-6.7981	eV/atom

=====

# 6
## TlIrPb3 (GGA-PBEsol)

Data for an optimized crystal structure of TlIrPb3.

abc: 5.5232 5.5232 5.5232
angles: 90.00 90.00 90.00
Last column: nearest neighbours and their distance in Å.
Atoms (fractional coordinates):
Pb  0.5000  0.0000  0.0000  2 Tl 2.76
Pb  0.0000  0.5000  0.0000  2 Tl 2.76
Pb  0.0000  0.0000  0.5000  2 Tl 2.76
Ir  0.5000  0.5000  0.5000  12 Pb 3.91
Tl  0.0000  0.0000  0.0000  6 Pb 2.76

symmetry	No. 221
ρ	10.03	g/cm³
volume	168	Å³ per cell
N(E_F)	1.16	states/eV/atom
E	-3.2712	eV/atom
formation energy from the elements	1.619	eV per atom

=====

# 7
## BeAl2Ru (GGA-PBEsol)

Data for an optimized crystal structure of BeAl2Ru.

abc: 2.7895 2.7895 8.1564
angles: 80.15 80.15 60.00
Last column: nearest neighbours and their distance in Å.
Atoms (fractional coordinates):
Be  0.5000  0.5000  0.5000  6 Al 2.57, 6 Be 2.79
Al  0.7497  0.7497  0.7508  3 Ru 2.56, 3 Be 2.57, 6 Al 2.79
Al  0.2503  0.2503  0.2492  3 Ru 2.56, 3 Be 2.57, 6 Al 2.79
Ru  0.0000  0.0000  0.0000  6 Al 2.56, 6 Ru 2.79

symmetry	No. 166
ρ	5.06	g/cm³
volume	54	Å³ per cell
N(E_F)	0.69	states/eV/atom
E	-5.6085	eV/atom
formation energy from the elements	-0.020	eV per atom

=====

# 8
## HgS2BrN (GGA-PBEsol)

Data for an optimized crystal structure of HgS2BrN.

abc: 3.6985 4.9896 4.9896
angles: 90.00 90.00 90.00
Last column: nearest neighbours and their distance in Å.
Atoms (fractional coordinates):
S  0.0000  0.5000  0.0000  2 Br 2.49
S  0.0000  0.0000  0.5000  2 Br 2.49
N  0.5000  0.0000  0.0000  2 Br 1.85
Hg  0.5000  0.5000  0.5000  8 S 3.11
Br  0.0000  0.0000  0.0000  2 N 1.85

symmetry	No. 123
ρ	6.47	g/cm³
volume	92	Å³ per cell
N(E_F)	0.74	states/eV/atom
E	-2.5583	eV/atom

=====

Q: Which of these has the lowest ρ?
A: B3PF